BP3RhC | PBE | relaxed

Calculated values
The energy above the most stable polymorph in this dataset comes out at 0.085 eV per atom. The calculation puts the spin magnetization at 0.00 Bohr magnetons per cell. The calculation puts the total DFT energy (no corrections) at -0.2380 hartree per atom. Its volume is 74.5 Å³/cell. The formation energy is 0.6 eV per formula unit.

a b c (Å): 2.9906 5.2045 5.5473
angles (deg): 64.42 86.44 73.47
Atoms (fractional coordinates):
C: 0.7768 0.6485 0.6039
Rh: 0.2823 0.8775 0.9819
B: 0.7980 0.4885 0.9245
P: 0.3986 0.2411 0.0914
P: 0.3291 0.5962 0.4319
P: 0.5639 0.0726 0.5417

***

Co2ReTc | PBE | relaxed

Calculated values
The energy above the most stable polymorph in this dataset comes out at 0.234 eV per atom. The calculation puts the spin magnetization at 0.00 Bohr magnetons per cell. The calculation puts the total DFT energy (no corrections) at -0.3338 hartree per atom. Its volume is 51.3 Å³/cell. The formation energy is 0.7 eV per formula unit.

a b c (Å): 8.5699 8.5699 8.5699
angles (deg): 17.80 17.80 17.80
Atoms (fractional coordinates):
Co: 0.4998 0.4998 0.4998
Co: 0.0002 0.0002 0.0002
Re: 0.2500 0.2500 0.2500
Tc: 0.7500 0.7500 0.7500

***

MgNiPCl2 | PBE | relaxed

Calculated values
The energy above the most stable polymorph in this dataset comes out at 0.000 eV per atom. The calculation puts the spin magnetization at 0.70 Bohr magnetons per cell. The calculation puts the total DFT energy (no corrections) at -0.1257 hartree per atom. Its volume is 98.5 Å³/cell. For the raw formation energy, the calculation gives -0.125 eV/atom.

a b c (Å): 4.5562 4.5562 4.7438
angles (deg): 90.00 90.00 90.00
Last column: magnetic moment on the atom in μB.
Atoms (fractional coordinates):
Cl: 0.0000 0.5000 0.0000  0.03
Cl: 0.5000 0.0000 0.0000  0.03
Mg: 0.5000 0.5000 0.5000  -0.01
P: 0.0000 0.0000 0.5000  0.24
Ni: 0.0000 0.0000 0.0000  0.15